Record 1
Material: Rb2NaAsCl6
Method: DFT, SCAN
State: single point on PBEsol structure

Cell and atoms, written as POSCAR:
```
Rb2NaAsCl6
1.0
7.310 0.000 0.000
3.655 6.330 0.000
3.655 2.110 5.968
As Cl Rb Na
1 6 2 1
Cartesian
0.000 0.000 0.000 As
7.310 6.421 4.540 Cl
9.215 5.321 1.428 Cl
5.404 5.321 1.428 Cl
5.404 3.120 4.540 Cl
7.310 2.020 1.428 Cl
9.215 3.120 4.540 Cl
3.655 2.110 1.492 Rb
10.965 6.330 4.476 Rb
7.310 4.220 2.984 Na
```

Values from the calculation:
Spin magnetization, μB per atom: 0.0000
DOS(E_F), states/eV per atom: 0.000
Total DFT energy (no corrections), eV per atom: -12.988
Symmetry: No. 225

Record 2
Material: Nb2AsCl
Method: DFT, SCAN
State: single point on PBEsol structure

Cell and atoms, written as POSCAR:
```
Nb2AsCl
1.0
-3.187 4.573 1.388
-3.260 -3.767 -2.860
-4.402 -1.699 3.276
Nb Cl As
4 2 2
Cartesian
-1.922 -1.606 -0.697 Nb
-5.824 0.474 3.159 Nb
-5.310 -0.850 0.179 Nb
-8.641 0.196 0.968 Nb
-7.340 -1.813 1.006 Cl
-3.831 -2.733 0.208 Cl
0.000 0.000 0.000 As
-3.509 0.920 0.798 As
```

Values from the calculation:
Spin magnetization, μB per atom: 0.0001
DOS(E_F), states/eV per atom: 1.059
Total DFT energy (no corrections), eV per atom: -23.345
Symmetry: No. 122

Record 3
Material: NbAsPCl13
Method: DFT, SCAN
State: single point on PBEsol structure

Cell and atoms, written as POSCAR:
```
NbAsPCl13
1.0
-2.753 5.989 6.736
-6.211 -6.789 -2.038
4.821 -6.824 8.037
Cl P Nb As
26 2 2 2
Cartesian
-1.628 -11.559 5.894 Cl
-5.061 -6.928 7.492 Cl
-3.463 -0.644 4.252 Cl
1.705 -3.267 6.132 Cl
-2.486 -9.355 8.243 Cl
-3.971 -7.630 2.093 Cl
-1.341 -3.203 4.245 Cl
-0.416 -0.026 6.561 Cl
-4.452 -3.817 9.359 Cl
-1.522 -5.789 7.081 Cl
-1.198 -1.675 0.864 Cl
0.464 -9.092 6.697 Cl
0.986 -1.634 12.573 Cl
-6.366 0.566 6.276 Cl
-4.300 -3.467 5.796 Cl
-1.017 -2.552 8.594 Cl
-1.252 2.148 8.946 Cl
-0.354 1.102 3.125 Cl
-3.366 -0.289 8.107 Cl
-4.505 -3.120 1.842 Cl
-3.139 2.205 5.356 Cl
1.298 -5.773 8.842 Cl
-1.661 -6.037 10.393 Cl
0.952 -6.391 4.341 Cl
-7.355 -2.224 4.091 Cl
-2.492 -7.724 4.899 Cl
-3.168 -8.807 3.426 P
-3.016 4.071 5.908 P
-1.089 -0.205 8.857 Nb
-5.456 -4.020 -0.125 Nb
-0.564 -6.966 8.706 As
-2.575 -2.078 5.702 As
```

Values from the calculation:
Spin magnetization, μB per atom: 0.0000
DOS(E_F), states/eV per atom: 0.000
Total DFT energy (no corrections), eV per atom: -11.460
Symmetry: No. 36